# GdMgZn | Alexandria | PBE-GGA | relaxed
data_GdMgZn
_space_group_name_H-M_alt 'P 1'
_space_group_IT_number 1
_space_group_name_Hall 'P 1'
_cell_length_a 4.789
_cell_length_b 4.789
_cell_length_c 4.789
_cell_angle_alpha 60.00
_cell_angle_beta 60.00
_cell_angle_gamma 60.00
loop_
_atom_site_label
_atom_site_fract_x
_atom_site_fract_y
_atom_site_fract_z
Zn1 0.250 0.250 0.250
Mg1 0.500 0.500 0.500
Gd1 0.000 0.000 0.000
# E_form, kcal/mol of atoms: -2.12

---

Density functional theory data (PBE-GGA) for a geometry-optimized Pr6Co2AsCl3 structure.

```
data_Pr6Co2AsCl3
_space_group_name_H-M_alt 'P 1'
_space_group_IT_number 1
_space_group_name_Hall 'P 1'
_cell_length_a 4.096
_cell_length_b 8.902
_cell_length_c 9.563
_cell_angle_alpha 106.86
_cell_angle_beta 102.37
_cell_angle_gamma 90.00
loop_
_atom_site_label
_atom_site_fract_x
_atom_site_fract_y
_atom_site_fract_z
Cl1 0.500 0.500 0.000
Co1 0.830 0.662 0.660
As1 0.500 0.000 0.000
Pr1 0.333 0.875 0.665
Pr2 0.321 0.437 0.643
Pr3 0.679 0.563 0.357
Co2 0.170 0.338 0.340
Pr4 0.020 0.248 0.041
Pr5 0.667 0.125 0.335
Cl2 0.841 0.162 0.682
Pr6 0.980 0.752 0.959
Cl3 0.159 0.838 0.318
```

---

# NaAs2CSe | Alexandria | PBE-GGA | relaxed
data_NaAs2CSe
_space_group_name_H-M_alt 'P 1'
_space_group_IT_number 1
_space_group_name_Hall 'P 1'
_cell_length_a 5.044
_cell_length_b 5.044
_cell_length_c 4.992
_cell_angle_alpha 90.00
_cell_angle_beta 90.00
_cell_angle_gamma 90.00
loop_
_atom_site_label
_atom_site_fract_x
_atom_site_fract_y
_atom_site_fract_z
Na1 0.000 0.000 0.000
As1 0.000 0.500 0.000
Se1 0.000 0.000 0.500
C1 0.500 0.500 0.500
As2 0.500 0.000 0.000
# Excess energy over the best structure of this formula in the dataset, meV per atom: 1469.3

---

# Pm4CdPb2 | Alexandria | PBE-GGA | relaxed
data_Pm4CdPb2
_space_group_name_H-M_alt 'P 1'
_space_group_IT_number 1
_space_group_name_Hall 'P 1'
_cell_length_a 5.939
_cell_length_b 5.939
_cell_length_c 7.800
_cell_angle_alpha 112.38
_cell_angle_beta 112.38
_cell_angle_gamma 90.00
loop_
_atom_site_label
_atom_site_fract_x
_atom_site_fract_y
_atom_site_fract_z
Pm1 0.000 0.500 0.000
Pm2 0.750 0.250 0.500
Pb1 0.631 0.631 0.262
Pm3 0.500 0.000 0.000
Pb2 0.369 0.369 0.738
Cd1 0.000 0.000 0.000
Pm4 0.250 0.750 0.500
# E_form, kcal/mol of atoms: -2.67

---

no.,spin magnetization (Bohr magnetons per cell),calculated volume (A^3/atom),E_tot (eV/atom)
1,7.9,25.88,-5.7420
2,0.0,27.10,-5.4646
3,1.4,25.40,-2.3859
4,0.0,33.11,-4.0208